Record 1
Entry from the Alexandria database: an optimized crystal structure of Nd3Sm4Sn4 (PBE).

a b c (Å): 10.3718 10.3718 10.3718
angles (deg): 156.85 126.98 58.60
Fractional positions:
Nd  0.0000  0.0000  0.0000
Nd  0.4026  0.9026  0.5000
Nd  0.5974  0.0974  0.5000
Sm  0.0109  0.3298  0.6810
Sm  0.3512  0.6702  0.6810
Sm  0.6488  0.3298  0.3190
Sm  0.9891  0.6702  0.3190
Sn  0.2680  0.2680  0.0000
Sn  0.2791  0.5000  0.7791
Sn  0.7209  0.5000  0.2209
Sn  0.7320  0.7320  0.0000

=====

Record 2
Entry from the Alexandria database: an optimized crystal structure of NdSm6Sn4 (PBE).

a b c (Å): 8.2303 8.2303 8.2303
angles (deg): 121.46 121.46 87.49
Fractional positions:
Nd  0.0000  0.0000  0.0000
Sm  0.0000  0.5000  0.5000
Sm  0.1707  0.1707  0.6806
Sm  0.4901  0.4901  0.3194
Sm  0.5000  0.0000  0.5000
Sm  0.5099  0.8293  0.0000
Sm  0.8293  0.5099  0.0000
Sn  0.1816  0.6269  0.0000
Sn  0.3731  0.3731  0.5547
Sn  0.6269  0.1816  0.0000
Sn  0.8184  0.8184  0.4453

=====

Record 3
Entry from the Alexandria database: an optimized crystal structure of NdSm3Sn12 (PBE).

a b c (Å): 4.7744 4.7744 18.8499
angles (deg): 90.00 90.00 90.00
Fractional positions:
Nd  0.0000  0.0000  0.0000
Sm  0.0000  0.0000  0.2507
Sm  0.0000  0.0000  0.5000
Sm  0.0000  0.0000  0.7493
Sn  0.0000  0.5000  0.1263
Sn  0.0000  0.5000  0.3754
Sn  0.0000  0.5000  0.6246
Sn  0.0000  0.5000  0.8737
Sn  0.5000  0.0000  0.1263
Sn  0.5000  0.0000  0.3754
Sn  0.5000  0.0000  0.6246
Sn  0.5000  0.0000  0.8737
Sn  0.5000  0.5000  0.0000
Sn  0.5000  0.5000  0.2508
Sn  0.5000  0.5000  0.5000
Sn  0.5000  0.5000  0.7492

=====

Record 4
Entry from the Alexandria database: an optimized crystal structure of Nd5Sm2Sn5 (PBE).

a b c (Å): 7.8224 7.8224 13.0253
angles (deg): 108.13 108.13 33.22
Fractional positions:
Nd  0.0000  0.0000  0.0000
Nd  0.1597  0.1597  0.5416
Nd  0.2289  0.2289  0.8463
Nd  0.7711  0.7711  0.1537
Nd  0.8403  0.8403  0.4584
Sm  0.4510  0.4510  0.7149
Sm  0.5490  0.5490  0.2851
Sn  0.1977  0.1977  0.2960
Sn  0.3834  0.3834  0.0727
Sn  0.5000  0.5000  0.5000
Sn  0.6166  0.6166  0.9273
Sn  0.8023  0.8023  0.7040

=====

Record 5
Entry from the Alexandria database: an optimized crystal structure of NdSm4Sn (PBE).

a b c (Å): 13.0138 13.0138 6.4181
angles (deg): 90.00 90.00 156.88
Fractional positions:
Nd  0.0352  0.9648  0.5000
Nd  0.9648  0.0352  0.0000
Sm  0.0971  0.9029  0.0339
Sm  0.1818  0.8182  0.4358
Sm  0.2262  0.7738  0.9285
Sm  0.3705  0.6295  0.1633
Sm  0.6295  0.3705  0.6633
Sm  0.7738  0.2262  0.4285
Sm  0.8182  0.1818  0.9358
Sm  0.9029  0.0971  0.5339
Sn  0.3325  0.6675  0.6515
Sn  0.6675  0.3325  0.1515

=====

Record 6
Entry from the Alexandria database: an optimized crystal structure of NdSm2Sn2 (PBE).

Values from the calculation:
The calculation puts the relative energy among the computed polymorphs at 0 meV per atom.

a b c (Å): 9.0451 9.0451 5.6488
angles (deg): 90.00 90.00 136.75
Fractional positions:
Nd  0.0000  0.0000  0.0000
Nd  0.0000  0.0000  0.5000
Sm  0.2018  0.7982  0.7500
Sm  0.4238  0.5762  0.2500
Sm  0.5762  0.4238  0.7500
Sm  0.7982  0.2018  0.2500
Sn  0.1311  0.4023  0.7500
Sn  0.4023  0.1311  0.2500
Sn  0.5977  0.8689  0.7500
Sn  0.8689  0.5977  0.2500

=====

Record 7
Entry from the Alexandria database: an optimized crystal structure of Nd3Sm2Sn (PBE).

Values from the calculation:
The calculation puts the relative energy among the computed polymorphs at 68 meV per atom.

a b c (Å): 8.8882 3.8464 11.5020
angles (deg): 90.00 90.54 90.00
Fractional positions:
Nd  0.0993  0.2500  0.4004
Nd  0.3413  0.7500  0.9230
Nd  0.3935  0.7500  0.2466
Nd  0.6065  0.2500  0.7534
Nd  0.6587  0.2500  0.0770
Nd  0.9007  0.7500  0.5996
Sm  0.0834  0.2500  0.1097
Sm  0.3585  0.7500  0.5741
Sm  0.6415  0.2500  0.4259
Sm  0.9166  0.7500  0.8903
Sn  0.1505  0.2500  0.7366
Sn  0.8495  0.7500  0.2634

=====

Record 8
Entry from the Alexandria database: an optimized crystal structure of NdSmSn2 (PBE).

a b c (Å): 4.3808 6.2927 6.2927
angles (deg): 43.26 90.00 90.00
Fractional positions:
Nd  0.0000  0.0000  0.0000
Sm  0.5000  0.7291  0.7291
Sn  0.0000  0.2742  0.2742
Sn  0.5000  0.4543  0.4543

=====

Record 9
Entry from the Alexandria database: an optimized crystal structure of Nd2SmSn3 (PBE).

a b c (Å): 7.8144 7.8144 7.8144
angles (deg): 146.45 131.84 59.98
Fractional positions:
Nd  0.1676  0.1676  0.0000
Nd  0.8324  0.8324  0.0000
Sm  0.5000  0.5000  0.0000
Sn  0.0000  0.5000  0.5000
Sn  0.3356  0.8356  0.5000
Sn  0.6644  0.1644  0.5000

=====

Record 10
Entry from the Alexandria database: an optimized crystal structure of NdSmSn2 (PBE).

a b c (Å): 8.8613 8.8613 8.8613
angles (deg): 27.05 27.05 27.05
Fractional positions:
Nd  0.0000  0.0000  0.0000
Sm  0.5000  0.5000  0.5000
Sn  0.2491  0.2491  0.2491
Sn  0.7509  0.7509  0.7509

=====

Record 11
Entry from the Alexandria database: an optimized crystal structure of NdSm2Sn2 (PBE).

Values from the calculation:
The calculation puts the relative energy among the computed polymorphs at 140 meV per atom.

a b c (Å): 5.1861 5.1861 13.1088
angles (deg): 90.00 90.00 120.00
Fractional positions:
Nd  0.0000  0.0000  0.2500
Nd  0.0000  0.0000  0.7500
Sm  0.0000  0.0000  0.0000
Sm  0.0000  0.0000  0.5000
Sm  0.3333  0.6667  0.2500
Sm  0.6667  0.3333  0.7500
Sn  0.3333  0.6667  0.6275
Sn  0.3333  0.6667  0.8725
Sn  0.6667  0.3333  0.1275
Sn  0.6667  0.3333  0.3725

=====

Record 12
Entry from the Alexandria database: an optimized crystal structure of Nd12SmSn6 (PBE).

a b c (Å): 9.2166 9.2166 9.2166
angles (deg): 107.44 107.44 107.44
Fractional positions:
Nd  0.0303  0.8931  0.3353
Nd  0.0849  0.3438  0.4392
Nd  0.1069  0.6647  0.9697
Nd  0.3353  0.0303  0.8931
Nd  0.3438  0.4392  0.0849
Nd  0.4392  0.0849  0.3438
Nd  0.5608  0.9151  0.6562
Nd  0.6562  0.5608  0.9151
Nd  0.6647  0.9697  0.1069
Nd  0.8931  0.3353  0.0303
Nd  0.9151  0.6562  0.5608
Nd  0.9697  0.1069  0.6647
Sm  0.0000  0.0000  0.0000
Sn  0.2170  0.6554  0.3440
Sn  0.3440  0.2170  0.6554
Sn  0.3446  0.6560  0.7830
Sn  0.6554  0.3440  0.2170
Sn  0.6560  0.7830  0.3446
Sn  0.7830  0.3446  0.6560

=====

How do the records compare in final energy? In the order shown, they have -5.018; -4.833; -4.670; -4.988; -4.574; -4.878; -4.820; -5.153; -4.932; -4.926; -4.738; -4.800 eV per atom.
How do the records compare in E_form? In the order shown, they have -0.55; -0.37; -0.49; -0.55; 0.03; -0.44; -0.20; -0.78; -0.55; -0.55; -0.30; -0.28 eV per atom.
How do the records compare in total moment? In the order shown, they have 1.26; 0.00; 0.00; 0.89; 0.00; 0.24; 0.00; 0.00; 0.00; 0.00; 0.00; 0.00 Bohr magnetons per cell.